A plane-wave DFT calculation with PBEsol was carried out for a relaxed Hf2Ni2Sb crystal.

It has space group P4/mbm (No. 127), with a = 6.736 Å, b = 6.736 Å, c = 3.612 Å, α = 90.00°, β = 90.00° and γ = 90.00°. Symmetry generates all atoms from Hf at (0.165, 0.335, 0.000), Ni at (0.126, 0.626, 0.500) and Sb at (0.000, 0.000, 0.500).

The calculation puts the total moment at 0.0 Bohr magnetons per cell. The uncorrected formation energy is -0.600 eV per atom.